[1]
Computed, not measured: a relaxed structure of BaRuW2 at the PBE-GGA level of DFT.

It has space group Imm2 (No. 44), with a = 3.040 Å, b = 5.590 Å, c = 9.978 Å, α = 90.00°, β = 90.00° and γ = 90.00°. The inequivalent atoms are Ba at (0.000, 0.000, 0.000), Ru at (0.000, 0.500, 0.786), W at (0.000, 0.000, 0.490) and W at (0.000, 0.500, 0.203).

The value obtained for the volume is 169.55 Å³ per cell. Its total moment is 0.00 μB/atom. The calculation puts the formation energy at 1.233 eV per atom. The energy above the most stable polymorph in this dataset is 200 kJ/mol of formula units.

=====

[2]
Computed, not measured: a relaxed structure of Tm2ZnIn2 at the PBE-GGA level of DFT.

It has space group Amm2 (No. 38), with a = 3.421 Å, b = 4.591 Å, c = 14.969 Å, α = 90.00°, β = 90.00° and γ = 90.00°. The inequivalent atoms are Tm at (0.000, 0.000, 0.000), Tm at (0.000, 0.000, 0.231), Zn at (0.500, 0.000, 0.418), In at (0.500, 0.000, 0.611) and In at (0.500, 0.000, 0.819).

The value obtained for the volume is 235.12 Å³ per cell. Its total moment is 0.00 μB/atom. The calculation puts the formation energy at -0.390 eV per atom. The energy above the most stable polymorph in this dataset is 0 kJ/mol of formula units.

=====

[3]
Computed, not measured: a relaxed structure of CsLaS2N at the PBE-GGA level of DFT.

It has space group P4/mmm (No. 123), with a = 5.538 Å, b = 5.538 Å, c = 4.404 Å, α = 90.00°, β = 90.00° and γ = 90.00°. The inequivalent atoms are Cs at (0.000, 0.000, 0.000), La at (0.500, 0.500, 0.500), S at (0.000, 0.500, 0.000) and N at (0.000, 0.000, 0.500).

The value obtained for the volume is 135.04 Å³ per cell. The value obtained for the raw formation energy is 3.47 eV/f.u. Its total moment is 0.14 μB/atom. The energy above the most stable polymorph in this dataset is 556 kJ/mol of formula units.

=====

[4]
Computed, not measured: a relaxed structure of Ge4Te5H2 at the PBE-GGA level of DFT.

It has space group C2/m (No. 12), with a = 18.502 Å, b = 4.101 Å, c = 7.077 Å, α = 90.00°, β = 100.66° and γ = 90.00°. The inequivalent atoms are Ge at (0.017, 0.000, 0.223), Ge at (0.158, 0.500, 0.091), Te at (0.000, 0.500, 0.500), Te at (0.158, 0.000, 0.817), Te at (0.171, 0.000, 0.375) and H at (0.067, 0.500, 0.079).

The value obtained for the volume is 527.72 Å³ per cell. Its total moment is 0.00 μB/atom. As for the calculated total energy: -77.98 eV for the cell shown.

=====

[5]
Computed, not measured: a relaxed structure of SrTe2Se2 at the PBE-GGA level of DFT.

It has space group P4/mbm (No. 127), with a = 8.349 Å, b = 8.349 Å, c = 4.292 Å, α = 90.00°, β = 90.00° and γ = 90.00°. The inequivalent atoms are Sr at (0.000, 0.000, 0.000), Te at (0.129, 0.371, 0.000) and Se at (0.206, 0.706, 0.500).

The value obtained for the volume is 299.14 Å³ per cell. The value obtained for the raw formation energy is -2.37 eV/f.u. Its total moment is 0.00 μB/atom. The energy above the most stable polymorph in this dataset is 107 kJ/mol of formula units.

=====

[6]
Computed, not measured: a relaxed structure of RbBAsAu2 at the PBE-GGA level of DFT.

It has space group P4/mmm (No. 123), with a = 4.625 Å, b = 4.625 Å, c = 4.824 Å, α = 90.00°, β = 90.00° and γ = 90.00°. The inequivalent atoms are Rb at (0.000, 0.000, 0.000), B at (0.500, 0.500, 0.500), As at (0.500, 0.500, 0.000) and Au at (0.000, 0.500, 0.500).

The value obtained for the volume is 103.19 Å³ per cell. Its total moment is 0.00 μB/atom. The calculation puts the formation energy at 0.326 eV per atom.

=====

Q: Among the records above, which one has the highest total moment?
A: CsLaS2N

=====

Q: Look up the total moment of the sixth one.
A: 0.00 μB/atom